Below is a relaxed structure of Pa3Zn9Pd2, with properties calculated at the GGA-PBE level.

a = 8.0066 Å, b = 8.0066 Å, c = 8.0066 Å
α = 147.96°, β = 111.40°, γ = 77.73°
Element x y z (fractional)
Pa1 0.0000 0.0000 0.0000
Pa2 0.2931 0.2931 0.0000
Pa3 0.7069 0.7069 0.0000
Zn1 0.0175 0.6561 0.3614
Zn2 0.1445 0.8626 0.2819
Zn3 0.2947 0.6561 0.6386
Zn4 0.4193 0.1374 0.2819
Zn5 0.5000 0.0000 0.5000
Zn6 0.5807 0.8626 0.7181
Zn7 0.7053 0.3439 0.3614
Zn8 0.8555 0.1374 0.7181
Zn9 0.9825 0.3439 0.6386
Pd1 0.3296 0.5000 0.8296
Pd2 0.6704 0.5000 0.1704

- total magnetic moment (μB per formula unit) = 0.16
- symmetry = Immm, No. 71
- E_form (eV/atom) = -0.242
- density of states at the Fermi level (states/eV per cell) = 12.7